1.
An optimized crystal structure of TaAl5Rh4, computed with PBE.

Crystal system ... tetragonal
Formation energy from the elements ... -917 meV per atom
Final energy ... -6.914 eV/atom

Unit cell a=2.9745 b=2.9745 c=16.0262 alpha=90.00 beta=90.00 gamma=90.00
Last column: nearest neighbours and their distance in Å.
Space group P4/mmm (No. 123)
Symmetry-distinct sites (fractional):
Ta  0.0000  0.0000  0.0000 (multiplicity 1)  8 Al 2.86, 4 Ta 2.97
Al  0.5000  0.5000  0.1213 (multiplicity 2)  4 Rh 2.59, 4 Ta 2.86
Al  0.5000  0.5000  0.3096 (multiplicity 2)  8 Rh 2.59-2.61
Al  0.5000  0.5000  0.5000 (multiplicity 1)  8 Rh 2.59
Rh  0.0000  0.0000  0.2156 (multiplicity 2)  8 Al 2.59
Rh  0.0000  0.0000  0.4056 (multiplicity 2)  8 Al 2.59-2.61

=====

2.
An optimized crystal structure of Ta2AlRh2, computed with PBE.

Crystal system ... tetragonal
Energy relative to the lowest polymorph listed for this composition ... 0.544 eV/atom
Formation energy from the elements ... 154 meV per atom
Final energy ... -8.276 eV/atom

Unit cell a=3.8686 b=3.8686 c=12.3477 alpha=90.00 beta=90.00 gamma=90.00
Last column: nearest neighbours and their distance in Å.
Space group I4/mmm (No. 139)
Symmetry-distinct sites (fractional):
Ta  0.0000  0.0000  0.1110 (multiplicity 4)  4 Rh 2.59, 1 Ta 2.74
Al  0.0000  0.0000  0.5000 (multiplicity 2)  8 Ta 3.06
Rh  0.0000  0.5000  0.2500 (multiplicity 4)  4 Ta 2.59, 4 Rh 2.74

=====

3.
An optimized crystal structure of TaAlRh, computed with PBE.

Crystal system ... cubic
Formation energy from the elements ... 198 meV per atom
Final energy ... -7.451 eV/atom

Unit cell a=6.1002 b=6.1002 c=6.1002 alpha=90.00 beta=90.00 gamma=90.00
Last column: nearest neighbours and their distance in Å.
Space group F-43m (No. 216)
Symmetry-distinct sites (fractional):
Ta  0.0000  0.0000  0.0000 (multiplicity 4)  4 Al 2.64, 4 Rh 2.64
Al  0.2500  0.2500  0.2500 (multiplicity 4)  4 Ta 2.64
Rh  0.2500  0.2500  0.7500 (multiplicity 4)  4 Ta 2.64

=====

4.
An optimized crystal structure of TaAlRh, computed with PBE.

Crystal system ... trigonal
Formation energy from the elements ... -349 meV per atom
Final energy ... -7.998 eV/atom

Unit cell a=2.8985 b=2.8985 c=6.5622 alpha=90.00 beta=90.00 gamma=120.00
Last column: nearest neighbours and their distance in Å.
Space group P3m1 (No. 156)
Symmetry-distinct sites (fractional):
Ta  0.0000  0.0000  0.0000 (multiplicity 1)  3 Rh 2.75, 3 Al 2.88, 6 Ta 2.90
Al  0.6667  0.3333  0.3579 (multiplicity 1)  3 Rh 2.63-2.64, 3 Ta 2.88, 6 Al 2.90
Rh  0.3333  0.6667  0.6680 (multiplicity 1)  3 Al 2.63-2.64, 3 Ta 2.75, 6 Rh 2.90

=====

5.
An optimized crystal structure of TaAlTl2Rh, computed with PBE.

Crystal system ... tetragonal
Formation energy from the elements ... 1344 meV per atom
Final energy ... -4.192 eV/atom

Unit cell a=5.3546 b=5.3546 c=5.0306 alpha=90.00 beta=90.00 gamma=90.00
Last column: nearest neighbours and their distance in Å.
Space group P4/mmm (No. 123)
Symmetry-distinct sites (fractional):
Ta  0.0000  0.0000  0.0000 (multiplicity 1)  2 Al 2.52, 4 Tl 2.68
Al  0.0000  0.0000  0.5000 (multiplicity 1)  2 Ta 2.52
Tl  0.0000  0.5000  0.0000 (multiplicity 2)  2 Ta 2.68
Rh  0.5000  0.5000  0.5000 (multiplicity 1)  8 Tl 3.67, 4 Al 3.79

=====

6.
An optimized crystal structure of TaAl2ZnRh, computed with PBE.

Crystal system ... tetragonal
Formation energy from the elements ... 1002 meV per atom
Final energy ... -4.590 eV/atom

Unit cell a=5.1121 b=5.1121 c=4.6724 alpha=90.00 beta=90.00 gamma=90.00
Last column: nearest neighbours and their distance in Å.
Space group P4/mmm (No. 123)
Symmetry-distinct sites (fractional):
Ta  0.0000  0.0000  0.0000 (multiplicity 1)  2 Rh 2.34, 4 Al 2.56
Al  0.0000  0.5000  0.0000 (multiplicity 2)  2 Ta 2.56
Zn  0.5000  0.5000  0.5000 (multiplicity 1)  8 Al 3.46, 4 Rh 3.61
Rh  0.0000  0.0000  0.5000 (multiplicity 1)  2 Ta 2.34

=====

7.
An optimized crystal structure of Zr2TaAl2Rh5, computed with PBE.

Crystal system ... tetragonal
Formation energy from the elements ... -747 meV per atom
Final energy ... -8.066 eV/atom

Unit cell a=9.4966 b=9.4966 c=3.6049 alpha=90.00 beta=90.00 gamma=90.00
Last column: nearest neighbours and their distance in Å.
Space group P4/mbm (No. 127)
Symmetry-distinct sites (fractional):
Zr  0.1739  0.3261  0.0000 (multiplicity 4)  3 Al 2.73-2.86, 2 Rh 2.95
Ta  0.0000  0.0000  0.0000 (multiplicity 2)  8 Rh 2.72
Al  0.1231  0.6231  0.0000 (multiplicity 4)  6 Rh 2.45-2.50, 1 Zr 2.73
Rh  0.0000  0.5000  0.5000 (multiplicity 2)  4 Al 2.45
Rh  0.0668  0.7963  0.5000 (multiplicity 8)  2 Al 2.50, 2 Ta 2.72

=====

8.
An optimized crystal structure of TbAl11Rh, computed with PBE.

Crystal system ... monoclinic
Formation energy from the elements ... -290 meV per atom
Final energy ... -4.378 eV/atom

Unit cell a=5.1697 b=12.6619 c=7.1815 alpha=90.00 beta=108.80 gamma=90.00
Last column: nearest neighbours and their distance in Å.
Space group C2/m (No. 12)
Symmetry-distinct sites (fractional):
Tb  0.0000  0.0000  0.0000 (multiplicity 2)  18 Al 3.27-3.59
Al  0.0000  0.0000  0.5000 (multiplicity 2)  2 Rh 2.58, 8 Al 2.70-2.73
Al  0.1089  0.3915  0.2254 (multiplicity 8)  1 Rh 2.61, 6 Al 2.67-2.88
Al  0.1809  0.1752  0.3579 (multiplicity 8)  8 Al 2.71-2.96, 1 Rh 2.76
Al  0.2500  0.2500  0.0000 (multiplicity 4)  8 Al 2.58-2.87
Rh  0.0000  0.5000  0.5000 (multiplicity 2)  10 Al 2.58-2.76

=====

9.
An optimized crystal structure of Tb3AlRh3, computed with PBE.

Crystal system ... orthorhombic
Formation energy from the elements ... -880 meV per atom
Final energy ... -6.549 eV/atom

Unit cell a=4.0709 b=10.4323 c=13.7054 alpha=90.00 beta=90.00 gamma=90.00
Last column: nearest neighbours and their distance in Å.
Space group Cmcm (No. 63)
Symmetry-distinct sites (fractional):
Tb  0.0000  0.0220  0.2500 (multiplicity 4)  7 Rh 2.89-3.09
Tb  0.0000  0.2980  0.1064 (multiplicity 8)  6 Rh 2.88-3.04
Al  0.0000  0.0000  0.0000 (multiplicity 4)  4 Rh 2.52
Rh  0.0000  0.2546  0.7500 (multiplicity 4)  2 Rh 2.80, 7 Tb 2.88-3.09
Rh  0.0000  0.4172  0.5878 (multiplicity 8)  2 Al 2.52, 1 Rh 2.80

=====

10.
An optimized crystal structure of TbAlRh2, computed with PBE.

Crystal system ... tetragonal
Formation energy from the elements ... -860 meV per atom
Final energy ... -6.628 eV/atom

Unit cell a=3.1635 b=3.1635 c=6.7260 alpha=90.00 beta=90.00 gamma=90.00
Last column: nearest neighbours and their distance in Å.
Space group P4/mmm (No. 123)
Symmetry-distinct sites (fractional):
Tb  0.0000  0.0000  0.0000 (multiplicity 1)  8 Rh 2.96, 4 Tb 3.16
Al  0.0000  0.0000  0.5000 (multiplicity 1)  8 Rh 2.65
Rh  0.5000  0.5000  0.2874 (multiplicity 2)  4 Al 2.65, 1 Rh 2.86, 4 Tb 2.96

=====

11.
An optimized crystal structure of TbAlRh2, computed with PBE.

Crystal system ... tetragonal
Formation energy from the elements ... -873 meV per atom
Final energy ... -6.642 eV/atom

Unit cell a=4.4448 b=4.4448 c=3.4216 alpha=90.00 beta=90.00 gamma=90.00
Last column: nearest neighbours and their distance in Å.
Space group P4/mmm (No. 123)
Symmetry-distinct sites (fractional):
Tb  0.0000  0.0000  0.0000 (multiplicity 1)  8 Rh 2.80
Al  0.5000  0.5000  0.0000 (multiplicity 1)  8 Rh 2.80
Rh  0.0000  0.5000  0.5000 (multiplicity 2)  4 Tb 2.80, 4 Al 2.80

=====

12.
An optimized crystal structure of Tb2Al5Rh, computed with PBE.

Crystal system ... tetragonal
Formation energy from the elements ... -448 meV per atom
Final energy ... -4.863 eV/atom

Unit cell a=6.2306 b=6.2306 c=8.3611 alpha=90.00 beta=90.00 gamma=90.00
Last column: nearest neighbours and their distance in Å.
Space group I4mm (No. 107)
Symmetry-distinct sites (fractional):
Tb  0.0000  0.5000  0.0000 (multiplicity 4)  10 Al 3.03-3.12
Al  0.0000  0.0000  0.4943 (multiplicity 2)  1 Rh 2.43
Al  0.2187  0.2187  0.7471 (multiplicity 8)  1 Rh 2.50, 2 Al 2.73
Rh  0.0000  0.0000  0.2038 (multiplicity 2)  5 Al 2.43-2.50

=====

13.
An optimized crystal structure of Tb3Al9Rh2, computed with PBE.

Crystal system ... orthorhombic
Formation energy from the elements ... -671 meV per atom
Final energy ... -5.119 eV/atom

Unit cell a=4.3187 b=9.6956 c=12.3955 alpha=90.00 beta=90.00 gamma=90.00
Last column: nearest neighbours and their distance in Å.
Space group Immm (No. 71)
Symmetry-distinct sites (fractional):
Tb  0.0000  0.0000  0.0000 (multiplicity 2)  12 Al 3.16-3.18
Tb  0.0000  0.0000  0.2966 (multiplicity 4)  2 Rh 3.06, 10 Al 3.12-3.32
Al  0.0000  0.2832  0.1295 (multiplicity 8)  4 Al 2.59-2.83, 2 Rh 2.72
Al  0.0000  0.3615  0.3492 (multiplicity 8)  1 Rh 2.57, 4 Al 2.59-2.83
Al  0.0000  0.5000  0.0000 (multiplicity 2)  4 Al 2.64, 4 Rh 2.77
Rh  0.0000  0.1790  0.5000 (multiplicity 4)  8 Al 2.57-2.77

=====

14.
An optimized crystal structure of TbAl9Rh2, computed with PBE.

Crystal system ... tetragonal
Formation energy from the elements ... -541 meV per atom
Final energy ... -4.959 eV/atom

Unit cell a=10.7658 b=10.7658 c=6.8767 alpha=90.00 beta=90.00 gamma=90.00
Last column: nearest neighbours and their distance in Å.
Space group I4_1/amd (No. 141, origin choice 2)
Symmetry-distinct sites (fractional):
Tb  0.0000  0.2500  0.3750 (multiplicity 4)  18 Al 3.28-3.52
Al  0.0000  0.2500  0.8750 (multiplicity 4)  4 Rh 2.83, 8 Al 2.83
Al  0.1210  0.0512  0.6824 (multiplicity 32)  2 Rh 2.59-2.60, 7 Al 2.61-2.90
Rh  0.0000  0.0000  0.0000 (multiplicity 8)  10 Al 2.59-2.83

=====

15.
An optimized crystal structure of Tb2AlRh2, computed with PBE.

Crystal system ... monoclinic
Formation energy from the elements ... -892 meV per atom
Final energy ... -6.433 eV/atom

Unit cell a=10.1612 b=5.4944 c=7.5788 alpha=90.00 beta=104.38 gamma=90.00
Last column: nearest neighbours and their distance in Å.
Space group C2/c (No. 15)
Symmetry-distinct sites (fractional):
Tb  0.1471  0.1435  0.1491 (multiplicity 8)  6 Rh 2.90-3.18
Al  0.0000  0.3679  0.7500 (multiplicity 4)  4 Rh 2.53-2.54
Rh  0.1315  0.3637  0.5069 (multiplicity 8)  2 Al 2.53-2.54, 1 Rh 2.74

=====

16.
An optimized crystal structure of TbAl8Rh4, computed with PBE.

Crystal system ... tetragonal
Formation energy from the elements ... -812 meV per atom
Final energy ... -5.733 eV/atom

Unit cell a=8.6853 b=8.6853 c=5.4719 alpha=90.00 beta=90.00 gamma=90.00
Last column: nearest neighbours and their distance in Å.
Space group I4/mmm (No. 139)
Symmetry-distinct sites (fractional):
Tb  0.0000  0.0000  0.0000 (multiplicity 2)  4 Al 2.98
Al  0.0000  0.2246  0.5000 (multiplicity 8)  4 Rh 2.58, 4 Al 2.75-2.76
Al  0.0000  0.3428  0.0000 (multiplicity 8)  4 Rh 2.69, 5 Al 2.73-2.92, 1 Tb 2.98
Rh  0.2500  0.2500  0.2500 (multiplicity 8)  8 Al 2.58-2.69, 2 Rh 2.74

=====

17.
An optimized crystal structure of TbAl10Rh2, computed with PBE.

Crystal system ... orthorhombic
Formation energy from the elements ... -566 meV per atom
Final energy ... -4.932 eV/atom

Unit cell a=9.0438 b=10.2709 c=9.1670 alpha=90.00 beta=90.00 gamma=90.00
Last column: nearest neighbours and their distance in Å.
Space group Cmcm (No. 63)
Symmetry-distinct sites (fractional):
Tb  0.0000  0.1277  0.2500 (multiplicity 4)  14 Al 3.15-3.31, 4 Rh 3.46
Al  0.0000  0.1532  0.6018 (multiplicity 8)  2 Rh 2.64, 8 Al 2.70-2.95
Al  0.0000  0.3780  0.0515 (multiplicity 8)  2 Rh 2.66, 6 Al 2.68-2.86
Al  0.1477  0.3721  0.7500 (multiplicity 8)  7 Al 2.67-2.95, 2 Rh 2.77
Al  0.2210  0.0000  0.0000 (multiplicity 8)  2 Rh 2.58, 6 Al 2.70-2.86
Al  0.2264  0.3683  0.2500 (multiplicity 8)  2 Rh 2.60, 8 Al 2.70-2.83
Rh  0.2500  0.2500  0.0000 (multiplicity 8)  10 Al 2.58-2.77

=====

18.
An optimized crystal structure of TbAl3Rh4, computed with PBE.

Crystal system ... trigonal
Formation energy from the elements ... -973 meV per atom
Final energy ... -6.631 eV/atom

Unit cell a=4.3581 b=4.3581 c=22.4122 alpha=90.00 beta=90.00 gamma=120.00
Last column: nearest neighbours and their distance in Å.
Space group R-3m (No. 166, hexagonal axes)
Symmetry-distinct sites (fractional):
Tb  0.0000  0.0000  0.0000 (multiplicity 3)  8 Rh 2.80-2.91
Al  0.0000  0.0000  0.2437 (multiplicity 6)  7 Rh 2.56-2.67
Al  0.0000  0.0000  0.5000 (multiplicity 3)  8 Rh 2.51-2.65
Rh  0.0000  0.0000  0.1297 (multiplicity 6)  7 Al 2.56-2.67
Rh  0.0000  0.0000  0.3881 (multiplicity 6)  4 Al 2.51-2.63, 3 Tb 2.80

=====

19.
An optimized crystal structure of TbAl3Rh, computed with PBE.

Crystal system ... hexagonal
Energy relative to the lowest polymorph listed for this composition ... 0.056 eV/atom
Formation energy from the elements ... -541 meV per atom
Final energy ... -5.183 eV/atom

Unit cell a=6.3740 b=6.3740 c=11.1374 alpha=90.00 beta=90.00 gamma=120.00
Last column: nearest neighbours and their distance in Å.
Space group P6_3/mmc (No. 194)
Symmetry-distinct sites (fractional):
Tb  0.0000  0.0000  0.0000 (multiplicity 2)  12 Al 3.18-3.19
Tb  0.3333  0.6667  0.2500 (multiplicity 2)  12 Al 3.20-3.34
Al  0.0000  0.5000  0.0000 (multiplicity 6)  2 Rh 2.31
Al  0.1400  0.2801  0.7500 (multiplicity 6)  2 Rh 2.54, 2 Al 2.68
Rh  0.3333  0.6667  0.6261 (multiplicity 4)  6 Al 2.31-2.54

=====

20.
An optimized crystal structure of TbAl4Rh, computed with PBE.

Crystal system ... tetragonal
Formation energy from the elements ... -380 meV per atom
Final energy ... -4.872 eV/atom

Unit cell a=6.4859 b=6.4859 c=11.5213 alpha=90.00 beta=90.00 gamma=90.00
Last column: nearest neighbours and their distance in Å.
Space group I4/mcm (No. 140)
Symmetry-distinct sites (fractional):
Tb  0.0000  0.0000  0.0000 (multiplicity 4)  2 Rh 2.88, 8 Al 3.12
Al  0.1490  0.3510  0.1651 (multiplicity 16)  2 Rh 2.66, 4 Al 2.69-2.75
Rh  0.0000  0.0000  0.2500 (multiplicity 4)  8 Al 2.66, 2 Tb 2.88